(1)
# PBE-GGA NaTc2AgIr, optimized geometry
# Formation energy: 2.166 eV/atom
data_NaTc2AgIr
_chemical_formula_sum 'Na1 Tc2 Ag1 Ir1'
_cell_length_a 5.0188
_cell_length_b 4.9739
_cell_length_c 5.0188
_cell_angle_alpha 90.00
_cell_angle_beta 90.00
_cell_angle_gamma 90.00
_symmetry_space_group_name_H-M 'P 1'
_symmetry_Int_Tables_number 1
loop_
_symmetry_equiv_pos_as_xyz
'x,y,z'
loop_
_atom_site_label
_atom_site_type_symbol
_atom_site_fract_x
_atom_site_fract_y
_atom_site_fract_z
Ir1 Ir 0.0000 0.5000 0.0000
Ag1 Ag 0.0000 0.0000 0.0000
Na1 Na 0.5000 0.5000 0.5000
Tc1 Tc 0.5000 0.0000 0.0000
Tc2 Tc 0.0000 0.0000 0.5000

(2)
# PBE-GGA Cs3Cd3Au, optimized geometry
# Formation energy: -0.125 eV/atom
# Energy above the lowest structure with this stoichiometry: 0.006 eV per atom
data_Cs3Cd3Au
_chemical_formula_sum 'Cs6 Cd6 Au2'
_cell_length_a 5.3067
_cell_length_b 10.9735
_cell_length_c 11.5342
_cell_angle_alpha 81.98
_cell_angle_beta 90.00
_cell_angle_gamma 90.00
_symmetry_space_group_name_H-M 'P 1'
_symmetry_Int_Tables_number 1
loop_
_symmetry_equiv_pos_as_xyz
'x,y,z'
loop_
_atom_site_label
_atom_site_type_symbol
_atom_site_fract_x
_atom_site_fract_y
_atom_site_fract_z
Cd1 Cd 0.7500 0.2983 0.0735
Cd2 Cd 0.7500 0.2259 0.6136
Cd3 Cd 0.2500 0.7017 0.9265
Cd4 Cd 0.2500 0.7741 0.3864
Cd5 Cd 0.2500 0.4365 0.0761
Cd6 Cd 0.7500 0.5635 0.9239
Cs1 Cs 0.7500 0.5026 0.3310
Cs2 Cs 0.7500 0.8772 0.1233
Cs3 Cs 0.7500 0.8519 0.6484
Cs4 Cs 0.2500 0.4974 0.6690
Cs5 Cs 0.2500 0.1481 0.3516
Cs6 Cs 0.2500 0.1228 0.8767
Au1 Au 0.2500 0.6657 0.1788
Au2 Au 0.7500 0.3343 0.8212

(3)
# PBE-GGA BaSc2Se, optimized geometry
# Final energy: -20.0 eV/cell
data_BaSc2Se
_chemical_formula_sum 'Ba1 Sc2 Se1'
_cell_length_a 10.3155
_cell_length_b 10.3155
_cell_length_c 10.3155
_cell_angle_alpha 20.81
_cell_angle_beta 20.81
_cell_angle_gamma 20.81
_symmetry_space_group_name_H-M 'P 1'
_symmetry_Int_Tables_number 1
loop_
_symmetry_equiv_pos_as_xyz
'x,y,z'
loop_
_atom_site_label
_atom_site_type_symbol
_atom_site_fract_x
_atom_site_fract_y
_atom_site_fract_z
Ba1 Ba 0.0000 0.0000 0.0000
Se1 Se 0.5000 0.5000 0.5000
Sc1 Sc 0.8847 0.8847 0.8847
Sc2 Sc 0.1153 0.1153 0.1153

(4)
# PBE-GGA Pr8Dy6Ho, optimized geometry
# Formation energy: 0.171 eV/atom
data_Pr8Dy6Ho
_chemical_formula_sum 'Pr8 Dy6 Ho1'
_cell_length_a 6.6274
_cell_length_b 9.4850
_cell_length_c 9.4850
_cell_angle_alpha 120.00
_cell_angle_beta 90.00
_cell_angle_gamma 90.00
_symmetry_space_group_name_H-M 'P 1'
_symmetry_Int_Tables_number 1
loop_
_symmetry_equiv_pos_as_xyz
'x,y,z'
loop_
_atom_site_label
_atom_site_type_symbol
_atom_site_fract_x
_atom_site_fract_y
_atom_site_fract_z
Dy1 Dy 0.3435 0.0941 0.4370
Dy2 Dy 0.6565 0.9059 0.5630
Dy3 Dy 0.6565 0.4370 0.3428
Dy4 Dy 0.3435 0.5630 0.6572
Dy5 Dy 0.3435 0.3428 0.9059
Dy6 Dy 0.6565 0.6572 0.0941
Pr1 Pr 0.1679 0.9627 0.7128
Pr2 Pr 0.1679 0.2872 0.2499
Pr3 Pr 0.8321 0.0373 0.2872
Pr4 Pr 0.8321 0.2499 0.9627
Pr5 Pr 0.1197 0.6667 0.3333
Pr6 Pr 0.8803 0.3333 0.6667
Pr7 Pr 0.1679 0.7501 0.0373
Pr8 Pr 0.8321 0.7128 0.7501
Ho1 Ho 0.5000 0.0000 0.0000

(5)
# PBE-GGA CaTl4Cr, optimized geometry
# Formation energy: 0.317 eV/atom
data_CaTl4Cr
_chemical_formula_sum 'Ca1 Tl4 Cr1'
_cell_length_a 6.3162
_cell_length_b 6.3162
_cell_length_c 6.3162
_cell_angle_alpha 60.00
_cell_angle_beta 60.00
_cell_angle_gamma 60.00
_symmetry_space_group_name_H-M 'P 1'
_symmetry_Int_Tables_number 1
loop_
_symmetry_equiv_pos_as_xyz
'x,y,z'
loop_
_atom_site_label
_atom_site_type_symbol
_atom_site_fract_x
_atom_site_fract_y
_atom_site_fract_z
Tl1 Tl 0.3746 0.3746 0.3746
Tl2 Tl 0.3746 0.8763 0.3746
Tl3 Tl 0.3746 0.3746 0.8763
Tl4 Tl 0.8763 0.3746 0.3746
Cr1 Cr 0.0000 0.0000 0.0000
Ca1 Ca 0.7500 0.7500 0.7500

(6)
# PBE-GGA TbMn4B4, optimized geometry
# Formation energy: -0.445 eV/atom
data_TbMn4B4
_chemical_formula_sum 'Tb2 Mn8 B8'
_cell_length_a 3.9233
_cell_length_b 7.0353
_cell_length_c 7.0353
_cell_angle_alpha 90.00
_cell_angle_beta 90.00
_cell_angle_gamma 90.00
_symmetry_space_group_name_H-M 'P 1'
_symmetry_Int_Tables_number 1
loop_
_symmetry_equiv_pos_as_xyz
'x,y,z'
loop_
_atom_site_label
_atom_site_type_symbol
_atom_site_fract_x
_atom_site_fract_y
_atom_site_fract_z
Mn1 Mn 0.6181 0.1173 0.3712
Mn2 Mn 0.8819 0.3827 0.1288
Mn3 Mn 0.3819 0.3712 0.8827
Mn4 Mn 0.6181 0.8827 0.6288
Mn5 Mn 0.1181 0.1288 0.6173
Mn6 Mn 0.3819 0.6288 0.1173
Mn7 Mn 0.8819 0.6173 0.8712
Mn8 Mn 0.1181 0.8712 0.3827
B1 B 0.1140 0.1932 0.3286
B2 B 0.6140 0.1714 0.6932
B3 B 0.6140 0.8286 0.3068
B4 B 0.1140 0.8068 0.6714
B5 B 0.3860 0.6932 0.8286
B6 B 0.3860 0.3068 0.1714
B7 B 0.8860 0.3286 0.8068
B8 B 0.8860 0.6714 0.1932
Tb1 Tb 0.0000 0.0000 0.0000
Tb2 Tb 0.5000 0.5000 0.5000

(7)
# PBE-GGA ZrNiH4, optimized geometry
# Final energy: -58.4 eV/cell
data_ZrNiH4
_chemical_formula_sum 'Zr2 Ni2 H8'
_cell_length_a 3.3610
_cell_length_b 5.8997
_cell_length_c 6.0685
_cell_angle_alpha 90.00
_cell_angle_beta 90.00
_cell_angle_gamma 124.72
_symmetry_space_group_name_H-M 'P 1'
_symmetry_Int_Tables_number 1
loop_
_symmetry_equiv_pos_as_xyz
'x,y,z'
loop_
_atom_site_label
_atom_site_type_symbol
_atom_site_fract_x
_atom_site_fract_y
_atom_site_fract_z
Ni1 Ni 0.1108 0.8609 0.2500
Ni2 Ni 0.8892 0.1391 0.7500
H1 H 0.3576 0.1074 0.7500
H2 H 0.5667 0.8162 0.7500
H3 H 0.1635 0.4134 0.5923
H4 H 0.6424 0.8926 0.2500
H5 H 0.8365 0.5866 0.4077
H6 H 0.1635 0.4134 0.9077
H7 H 0.8365 0.5866 0.0923
H8 H 0.4333 0.1838 0.2500
Zr1 Zr 0.1377 0.3882 0.2500
Zr2 Zr 0.8623 0.6118 0.7500

(8)
# PBE-GGA Na2V2Ag, optimized geometry
# Formation energy: 0.877 eV/atom
# Energy above the lowest structure with this stoichiometry: 0.079 eV per atom
data_Na2V2Ag
_chemical_formula_sum 'Na4 V4 Ag2'
_cell_length_a 8.7570
_cell_length_b 8.7570
_cell_length_c 2.9664
_cell_angle_alpha 90.00
_cell_angle_beta 90.00
_cell_angle_gamma 90.00
_symmetry_space_group_name_H-M 'P 1'
_symmetry_Int_Tables_number 1
loop_
_symmetry_equiv_pos_as_xyz
'x,y,z'
loop_
_atom_site_label
_atom_site_type_symbol
_atom_site_fract_x
_atom_site_fract_y
_atom_site_fract_z
V1 V 0.4264 0.9264 0.0000
V2 V 0.0736 0.4264 0.0000
V3 V 0.9264 0.5736 0.0000
V4 V 0.5736 0.0736 0.0000
Na1 Na 0.7869 0.2869 0.5000
Na2 Na 0.2131 0.7131 0.5000
Na3 Na 0.2869 0.2131 0.5000
Na4 Na 0.7131 0.7869 0.5000
Ag1 Ag 0.5000 0.5000 0.0000
Ag2 Ag 0.0000 0.0000 0.0000

(9)
# PBE-GGA BiOsN2F, optimized geometry
# Energy above the lowest structure with this stoichiometry: 1.523 eV per atom
data_BiOsN2F
_chemical_formula_sum 'Bi1 Os1 N2 F1'
_cell_length_a 4.3535
_cell_length_b 4.3535
_cell_length_c 4.3026
_cell_angle_alpha 90.00
_cell_angle_beta 90.00
_cell_angle_gamma 90.00
_symmetry_space_group_name_H-M 'P 1'
_symmetry_Int_Tables_number 1
loop_
_symmetry_equiv_pos_as_xyz
'x,y,z'
loop_
_atom_site_label
_atom_site_type_symbol
_atom_site_fract_x
_atom_site_fract_y
_atom_site_fract_z
N1 N 0.0000 0.5000 0.0000
N2 N 0.5000 0.0000 0.0000
F1 F 0.0000 0.0000 0.5000
Os1 Os 0.5000 0.5000 0.5000
Bi1 Bi 0.0000 0.0000 0.0000

(10)
# PBE-GGA Ru3PtAu, optimized geometry
# Formation energy: 1.878 eV/atom
# Energy above the lowest structure with this stoichiometry: 0.000 eV per atom
data_Ru3PtAu
_chemical_formula_sum 'Ru3 Pt1 Au1'
_cell_length_a 4.7818
_cell_length_b 4.7818
_cell_length_c 4.7818
_cell_angle_alpha 90.00
_cell_angle_beta 90.00
_cell_angle_gamma 90.00
_symmetry_space_group_name_H-M 'P 1'
_symmetry_Int_Tables_number 1
loop_
_symmetry_equiv_pos_as_xyz
'x,y,z'
loop_
_atom_site_label
_atom_site_type_symbol
_atom_site_fract_x
_atom_site_fract_y
_atom_site_fract_z
Pt1 Pt 0.0000 0.0000 0.0000
Ru1 Ru 0.0000 0.0000 0.5000
Ru2 Ru 0.5000 0.0000 0.0000
Ru3 Ru 0.0000 0.5000 0.0000
Au1 Au 0.5000 0.5000 0.5000

(11)
# PBE-GGA PmPaCSe2, optimized geometry
# Final energy: -73.4 eV/cell
data_PmPaCSe2
_chemical_formula_sum 'Pm2 Pa2 C2 Se4'
_cell_length_a 4.0216
_cell_length_b 4.0216
_cell_length_c 14.9059
_cell_angle_alpha 90.00
_cell_angle_beta 90.00
_cell_angle_gamma 90.00
_symmetry_space_group_name_H-M 'P 1'
_symmetry_Int_Tables_number 1
loop_
_symmetry_equiv_pos_as_xyz
'x,y,z'
loop_
_atom_site_label
_atom_site_type_symbol
_atom_site_fract_x
_atom_site_fract_y
_atom_site_fract_z
Se1 Se 0.0000 0.5000 0.0890
Se2 Se 0.5000 0.0000 0.9110
Se3 Se 0.5000 0.0000 0.3143
Se4 Se 0.0000 0.5000 0.6857
Pm1 Pm 0.5000 0.0000 0.1278
Pm2 Pm 0.0000 0.5000 0.8722
C1 C 0.0000 0.0000 0.5000
C2 C 0.5000 0.5000 0.5000
Pa1 Pa 0.0000 0.5000 0.4218
Pa2 Pa 0.5000 0.0000 0.5782

(12)
# PBE-GGA NiPtRh2, optimized geometry
# Formation energy: 0.032 eV/atom
data_NiPtRh2
_chemical_formula_sum 'Ni2 Pt2 Rh4'
_cell_length_a 2.7184
_cell_length_b 5.1223
_cell_length_c 8.3143
_cell_angle_alpha 90.00
_cell_angle_beta 90.00
_cell_angle_gamma 105.39
_symmetry_space_group_name_H-M 'P 1'
_symmetry_Int_Tables_number 1
loop_
_symmetry_equiv_pos_as_xyz
'x,y,z'
loop_
_atom_site_label
_atom_site_type_symbol
_atom_site_fract_x
_atom_site_fract_y
_atom_site_fract_z
Rh1 Rh 0.3674 0.7348 0.5216
Rh2 Rh 0.3674 0.7348 0.9784
Rh3 Rh 0.6326 0.2652 0.0216
Rh4 Rh 0.6326 0.2652 0.4784
Ni1 Ni 0.2427 0.4854 0.2500
Ni2 Ni 0.7573 0.5146 0.7500
Pt1 Pt 0.0256 0.0513 0.7500
Pt2 Pt 0.9744 0.9487 0.2500